1.
8
Lattice="-5.238 -4.082 -1.454 -0.723 -1.425 6.607 -7.350 2.610 3.256" Properties=species:S:1:pos:R:3 comment="RbTiBr2 PBE relaxed" dos_at_fermi_per_ev_cell=6.623 crystal_system=tetragonal raw_formation_energy_ev_per_atom=-0.697 m_tot_mub_per_cell=5.8 spacegroup="I-42d (122)" pbc="T T T"
Br -4.677 -1.669 0.877
Br -3.468 -1.157 4.616
Br -7.820 -0.250 5.036
Br -10.655 -2.719 6.290
Rb 0.000 0.000 0.000
Rb -7.784 -2.113 2.190
Ti -2.980 -2.754 2.577
Ti -5.526 -0.784 6.220

2.
11
Lattice="-2.197 -0.031 5.445 1.212 -5.349 -2.708 6.130 3.374 2.493" Properties=species:S:1:pos:R:3 comment="Rb2SrH6Au2 PBE relaxed" crystal_system=monoclinic energy_ev_per_cell=-32.95 m_tot_mub_per_cell=0.0 spacegroup="C2/m (12)" pbc="T T T"
Rb -0.070 -1.629 3.129
Rb 5.215 -0.377 2.102
Sr 1.967 1.671 3.969
H 2.909 -0.661 4.336
H 1.978 -4.182 -0.825
H 4.276 2.192 3.305
H 3.167 2.176 6.055
H 0.869 -4.198 1.925
H 2.237 -1.345 0.895
Au 3.464 -2.279 4.550
Au 1.681 0.273 0.680

3.
5
Lattice="-3.081 3.642 -1.418 -0.232 -1.973 -4.564 -3.717 -2.629 1.325" Properties=species:S:1:pos:R:3 comment="KAlZn2Ir PBE relaxed" dos_at_fermi_per_ev_cell=1.530 crystal_system=tetragonal m_tot_mub_per_cell=0.0 ef_ev_per_atom=-0.23 spacegroup="P4/mmm (123)" pbc="T T T"
Zn -0.116 -0.986 -2.282
Zn -1.541 1.821 -0.709
Ir 0.000 0.000 0.000
K -3.515 -0.480 -2.328
Al -1.859 -1.314 0.663

4.
12
Lattice="3.234 0.000 0.000 0.000 5.938 -0.167 0.000 -0.302 12.766" Properties=species:S:1:pos:R:3 comment="Zr4CoPt PBE relaxed" dos_at_fermi_per_ev_cell=12.092 crystal_system=monoclinic m_tot_mub_per_cell=0.0 ef_ev_per_atom=-0.17 spacegroup="C2/m (12)" pbc="T T T"
Zr 1.617 0.966 4.428
Zr 3.234 1.852 1.872
Zr 1.617 4.670 8.171
Zr 0.000 3.784 10.726
Zr 0.000 3.788 4.374
Zr 1.617 4.967 1.759
Zr 3.234 1.848 8.225
Zr 1.617 0.668 10.840
Co 1.617 2.818 6.299
Co 0.000 0.000 0.000
Pt 0.000 -0.151 6.383
Pt 1.617 2.969 -0.084

5.
4
Lattice="3.177 0.000 0.000 0.000 3.067 0.457 0.000 1.824 8.514" Properties=species:S:1:pos:R:3 comment="TcPbAu2 PBE relaxed" dos_at_fermi_per_ev_cell=3.796 crystal_system=monoclinic m_tot_mub_per_cell=1.7 ef_ev_per_atom=0.40 spacegroup="P2/m (10)" pbc="T T T"
Au 0.000 1.879 8.207
Au 0.000 2.391 4.793
Pb 1.588 1.223 2.243
Tc 1.588 3.668 6.728

6.
4
Lattice="2.825 -0.022 0.000 -1.037 2.628 0.000 0.000 0.000 8.821" Properties=species:S:1:pos:R:3 comment="CaZnRu2 PBE relaxed" dos_at_fermi_per_ev_cell=4.264 crystal_system=orthorhombic m_tot_mub_per_cell=0.0 ef_ev_per_atom=0.42 spacegroup="Cmmm (65)" pbc="T T T"
Ru 0.000 0.000 0.174
Ru 0.000 0.000 4.236
Zn 0.894 1.303 2.205
Ca 0.894 1.303 6.616

7.
4
Lattice="-0.683 -4.028 5.898 -0.138 -1.523 -5.352 3.277 -2.074 -0.900" Properties=species:S:1:pos:R:3 comment="KBeCl2 PBE relaxed" dos_at_fermi_per_ev_cell=0.967 crystal_system=monoclinic raw_formation_energy_ev_per_atom=-0.480 m_tot_mub_per_cell=0.0 spacegroup="C2/m (12)" pbc="T T T"
Be -0.410 -2.776 0.273
K 1.570 -1.799 -3.126
Cl 0.000 0.000 0.000
Cl 1.297 -3.051 2.499

8.
4
Lattice="-0.109 -3.155 -3.134 -3.826 -2.716 2.868 -6.164 1.619 -1.416" Properties=species:S:1:pos:R:3 comment="K2TeRu PBE relaxed" dos_at_fermi_per_ev_cell=2.747 crystal_system=orthorhombic raw_formation_energy_ev_per_atom=0.088 m_tot_mub_per_cell=0.7 spacegroup="Amm2 (38)" pbc="T T T"
K -9.374 -1.193 1.527
K -3.161 -1.763 -1.272
Ru -5.827 -0.978 1.187
Te -6.724 -1.966 -0.944

9.
6
Lattice="0.000 4.182 4.182 4.182 0.000 4.182 4.182 4.182 0.000" Properties=species:S:1:pos:R:3 comment="NiSb4Os PBE relaxed" dos_at_fermi_per_ev_cell=5.553 crystal_system=cubic raw_formation_energy_ev_per_atom=1.429 m_tot_mub_per_cell=0.9 spacegroup="F-43m (216)" pbc="T T T"
Ni 6.274 6.274 6.274
Sb 3.136 5.229 5.229
Sb 5.229 5.229 3.136
Sb 5.229 3.136 5.229
Sb 3.136 3.136 3.136
Os 0.000 0.000 0.000

10.
8
Lattice="-3.438 -0.194 2.372 2.412 -6.241 2.986 2.963 6.250 4.805" Properties=species:S:1:pos:R:3 comment="Rb2ErPaSe4 PBE relaxed" dos_at_fermi_per_ev_cell=7.381 crystal_system=monoclinic raw_formation_energy_ev_per_atom=-1.487 m_tot_mub_per_cell=2.0 spacegroup="P2/m (10)" pbc="T T T"
Rb -0.238 3.028 3.589
Rb 2.687 0.005 3.896
Er 0.000 0.000 0.000
Pa -0.513 -3.218 2.679
Se -0.584 -0.304 2.815
Se 2.520 0.120 7.349
Se 3.001 3.363 4.625
Se 2.374 -3.354 3.166

11.
12
Lattice="4.266 0.000 0.000 0.000 8.518 0.303 -2.133 -2.454 8.958" Properties=species:S:1:pos:R:3 comment="Pr3Nd2HoAs6 PBE relaxed" dos_at_fermi_per_ev_cell=1.760 crystal_system=monoclinic m_tot_mub_per_cell=0.0 ef_ev_per_atom=-1.50 spacegroup="C2/m (12)" pbc="T T T"
Pr 2.133 4.259 0.152
Pr 2.133 -0.219 6.015
Pr 0.000 6.284 3.247
Nd 2.133 4.050 6.192
Nd 0.000 2.015 3.070
Ho 2.133 0.000 0.000
As 0.000 6.161 6.309
As 2.133 4.138 3.172
As 2.133 -0.097 2.953
As 2.133 -0.397 9.030
As 0.000 6.462 0.232
As 0.000 1.927 6.090

12.
4
Lattice="-1.491 -2.215 2.332 3.202 -1.464 0.656 0.553 2.382 2.617" Properties=species:S:1:pos:R:3 comment="Fe2CoOs PBE relaxed" dos_at_fermi_per_ev_cell=5.011 crystal_system=tetragonal m_tot_mub_per_cell=0.2 ef_ev_per_atom=0.15 spacegroup="P4/mmm (123)" pbc="T T T"
Co -0.469 0.083 2.474
Fe 0.000 0.000 0.000
Fe 1.878 0.459 1.637
Os 0.856 -1.840 1.494

13.
8
Lattice="4.714 0.000 0.000 0.000 4.714 0.000 2.357 2.357 8.556" Properties=species:S:1:pos:R:3 comment="SrMgNi2 PBE relaxed" dos_at_fermi_per_ev_cell=5.678 crystal_system=tetragonal m_tot_mub_per_cell=0.0 ef_ev_per_atom=0.23 spacegroup="I-42d (122)" pbc="T T T"
Sr 0.000 0.000 0.000
Sr 4.714 2.357 4.278
Mg 2.357 2.357 0.000
Mg 2.357 4.714 4.278
Ni 2.522 1.178 2.139
Ni 2.192 3.535 2.139
Ni 3.535 4.549 6.417
Ni 5.892 4.879 6.417

14.
4
Lattice="6.519 0.006 0.020 5.399 3.652 0.020 2.092 0.642 4.757" Properties=species:S:1:pos:R:3 comment="Sr2CuMo PBE relaxed" dos_at_fermi_per_ev_cell=3.789 crystal_system=monoclinic m_tot_mub_per_cell=2.8 ef_ev_per_atom=0.67 spacegroup="Cm (8)" pbc="T T T"
Cu 7.448 2.286 2.182
Mo 2.916 0.895 1.483
Sr 11.810 3.625 0.093
Sr 10.759 3.303 3.480

15.
4
Lattice="1.983 0.000 9.607 -0.992 1.717 9.607 -0.992 -1.717 9.607" Properties=species:S:1:pos:R:3 comment="GeBrF2 PBE relaxed" dos_at_fermi_per_ev_cell=3.598 crystal_system=trigonal raw_formation_energy_ev_per_atom=-1.213 m_tot_mub_per_cell=0.0 spacegroup="R-3m (166)" pbc="T T T"
Ge 0.000 0.000 14.410
Br 0.000 0.000 0.000
F 0.000 0.000 25.089
F 0.000 0.000 3.732

16.
11
Lattice="5.048 0.000 0.000 0.000 5.048 0.000 -2.524 -2.524 13.172" Properties=species:S:1:pos:R:3 comment="Na2Ce3Pb6 PBE relaxed" dos_at_fermi_per_ev_cell=21.308 crystal_system=tetragonal m_tot_mub_per_cell=2.9 ef_ev_per_atom=-0.10 spacegroup="I4/mmm (139)" pbc="T T T"
Na 0.000 0.000 11.935
Na 2.524 2.524 1.238
Ce 0.000 0.000 0.000
Ce 2.524 2.524 8.241
Ce 0.000 0.000 4.931
Pb 0.000 2.524 2.729
Pb 2.524 0.000 2.729
Pb 2.524 0.000 10.443
Pb 0.000 2.524 10.443
Pb 2.524 2.524 5.058
Pb 0.000 0.000 8.114

17.
4
Lattice="2.066 0.000 7.580 -1.033 1.789 7.580 -1.033 -1.789 7.580" Properties=species:S:1:pos:R:3 comment="NiAgSe2 PBE relaxed" dos_at_fermi_per_ev_cell=3.384 crystal_system=trigonal raw_formation_energy_ev_per_atom=-0.140 m_tot_mub_per_cell=0.0 spacegroup="R-3m (166)" pbc="T T T"
Ni 0.000 0.000 11.371
Se 0.000 0.000 20.203
Se 0.000 0.000 2.539
Ag 0.000 0.000 0.000

18.
4
Lattice="-4.402 -4.487 -0.788 0.250 -6.310 -0.498 1.163 5.472 2.972" Properties=species:S:1:pos:R:3 comment="AlAs2Os PBE relaxed" dos_at_fermi_per_ev_cell=2.254 crystal_system=orthorhombic m_tot_mub_per_cell=0.0 ef_ev_per_atom=0.20 spacegroup="Imm2 (44)" pbc="T T T"
As -0.138 -0.359 -0.043
As -0.539 -3.657 0.851
Os -1.981 -5.151 -0.614
Al -2.407 -1.555 0.848

19.
14
Lattice="-3.776 7.142 3.305 1.455 2.245 8.308 4.837 7.032 1.826" Properties=species:S:1:pos:R:3 comment="Er3TmTh3 PBE relaxed" dos_at_fermi_per_ev_cell=19.341 crystal_system=trigonal m_tot_mub_per_cell=0.0 ef_ev_per_atom=0.32 spacegroup="R-3 (148)" pbc="T T T"
Er -1.652 6.949 7.210
Er 3.549 6.048 7.336
Er 1.524 9.319 3.719
Er 0.993 7.100 9.719
Er -1.032 10.371 6.103
Er 4.169 9.470 6.229
Tm 0.887 5.789 4.738
Tm 1.630 10.631 8.701
Th 2.164 12.066 5.675
Th 4.028 8.463 9.728
Th -1.564 9.663 9.309
Th 4.081 6.756 4.130
Th -1.511 7.956 3.711
Th 0.353 4.353 7.764

20.
5
Lattice="5.659 0.000 0.000 0.000 5.166 0.000 0.000 0.000 5.659" Properties=species:S:1:pos:R:3 comment="NaAlTe2Cl PBE relaxed" dos_at_fermi_per_ev_cell=1.954 crystal_system=tetragonal raw_formation_energy_ev_per_atom=0.151 m_tot_mub_per_cell=0.0 spacegroup="P4/mmm (123)" pbc="T T T"
Na 2.830 2.583 2.830
Te 0.000 0.000 2.830
Te 2.830 0.000 0.000
Al 0.000 2.583 0.000
Cl 0.000 0.000 0.000